1.
# Ga2IrPt (PBE-GGA, relaxed)
data_Ga2IrPt
_chemical_formula_sum 'Ga8 Ir4 Pt4'
_symmetry_space_group_name_H-M 'F -4 3 m'
_symmetry_Int_Tables_number 216
_symmetry_space_group_name_Hall 'F -4 2 3'
_cell_length_a 6.271
_cell_length_b 6.271
_cell_length_c 6.271
_cell_angle_alpha 90.00
_cell_angle_beta 90.00
_cell_angle_gamma 90.00
loop_
_atom_site_label
_atom_site_type_symbol
_atom_site_fract_x
_atom_site_fract_y
_atom_site_fract_z
Ga1 Ga 0.000 0.000 0.000
Ga2 Ga 0.250 0.250 0.250
Ir1 Ir 0.250 0.250 0.750
Pt1 Pt 0.000 0.000 0.500
# magnetization = 0.018 μB/cell
# total DFT energy (no corrections) = -5.31 eV per atom

***

2.
# GaIrPt2 (PBE-GGA, relaxed)
data_GaIrPt2
_chemical_formula_sum 'Ga4 Ir4 Pt8'
_symmetry_space_group_name_H-M 'F -4 3 m'
_symmetry_Int_Tables_number 216
_symmetry_space_group_name_Hall 'F -4 2 3'
_cell_length_a 6.262
_cell_length_b 6.262
_cell_length_c 6.262
_cell_angle_alpha 90.00
_cell_angle_beta 90.00
_cell_angle_gamma 90.00
loop_
_atom_site_label
_atom_site_type_symbol
_atom_site_fract_x
_atom_site_fract_y
_atom_site_fract_z
Ga1 Ga 0.000 0.000 0.000
Ir1 Ir 0.250 0.250 0.250
Pt1 Pt 0.000 0.000 0.500
Pt2 Pt 0.250 0.250 0.750
# magnetization = 0.017 μB/cell
# total DFT energy (no corrections) = -6.08 eV per atom

***

3.
# Sc2Ga4IrPt (PBE-GGA, relaxed)
data_Sc2Ga4IrPt
_chemical_formula_sum 'Sc4 Ga8 Ir2 Pt2'
_symmetry_space_group_name_H-M 'A m m 2'
_symmetry_Int_Tables_number 38
_cell_length_a 6.658
_cell_length_b 4.214
_cell_length_c 9.779
_cell_angle_alpha 90.00
_cell_angle_beta 90.00
_cell_angle_gamma 90.00
loop_
_symmetry_equiv_pos_as_xyz
'x,y,z'
'-x,-y,z'
'-x,y,z'
'x,-y,z'
'x,y+1/2,z+1/2'
'-x,-y+1/2,z+1/2'
'-x,y+1/2,z+1/2'
'x,-y+1/2,z+1/2'
loop_
_atom_site_label
_atom_site_type_symbol
_atom_site_fract_x
_atom_site_fract_y
_atom_site_fract_z
Sc1 Sc 0.000 0.000 0.000
Sc2 Sc 0.500 0.000 0.164
Ga1 Ga 0.202 0.000 0.714
Ga2 Ga 0.300 0.000 0.452
Ir1 Ir 0.500 0.000 0.877
Pt1 Pt 0.000 0.000 0.288
# magnetization = 0.003 μB/cell
# total DFT energy (no corrections) = -5.76 eV per atom